No. 1
A relaxed TbPr2Sm2 crystal, computed with PBE-GGA.

Geometry as POSCAR:
```
TbPr2Sm2
1.0
-1.707 -4.123 -4.546
-3.383 -3.812 4.728
-5.138 6.256 -3.744
Tb Pr Sm
2 4 4
direct
0.000 0.000 0.000
0.500 0.000 0.000
0.750 0.403 0.805
0.750 0.830 0.660
0.250 0.597 0.195
0.250 0.170 0.340
0.750 0.408 0.339
0.250 0.069 0.661
0.250 0.592 0.661
0.750 0.931 0.339
```

Excess energy over the best structure of this formula in the dataset   249.6 meV per atom
DFT formation energy   0.28 eV/atom

No. 2
A relaxed Tb6PrSm2 crystal, computed with PBE-GGA.

Geometry as POSCAR:
```
Tb6PrSm2
1.0
-3.277 0.956 -7.444
3.257 -7.137 -2.350
-8.613 -4.968 3.153
Tb Pr Sm
12 2 4
direct
0.738 0.738 0.166
0.738 0.738 0.834
0.736 0.736 0.500
0.764 0.236 0.000
0.762 0.238 0.334
0.762 0.238 0.666
0.238 0.762 0.334
0.238 0.762 0.666
0.236 0.764 0.000
0.264 0.264 0.500
0.262 0.262 0.166
0.262 0.262 0.834
0.500 0.500 0.000
0.000 0.000 0.500
0.500 0.500 0.332
0.500 0.500 0.668
0.000 0.000 0.168
0.000 0.000 0.832
```

Excess energy over the best structure of this formula in the dataset   594.3 meV per atom
DFT formation energy   0.70 eV/atom

No. 3
A relaxed Tb5Pr2Sm2 crystal, computed with PBE-GGA.

Geometry as POSCAR:
```
Tb5Pr2Sm2
1.0
11.956 0.000 0.000
0.000 6.785 0.000
-5.978 -3.393 7.522
Tb Pr Sm
10 4 4
direct
0.201 0.653 0.894
0.799 0.759 0.106
0.193 0.153 0.894
0.807 0.259 0.106
0.376 0.031 0.286
0.624 0.745 0.714
0.409 0.531 0.286
0.591 0.245 0.714
0.009 0.659 0.500
0.991 0.159 0.500
0.127 0.686 0.253
0.873 0.433 0.747
0.626 0.186 0.253
0.374 0.933 0.747
0.000 0.019 0.000
0.500 0.519 0.000
0.258 0.352 0.500
0.742 0.852 0.500
```

Excess energy over the best structure of this formula in the dataset   0.0 meV per atom
DFT formation energy   0.20 eV/atom

No. 4
A relaxed Tb4Pr4Sm3 crystal, computed with PBE-GGA.

Geometry as POSCAR:
```
Tb4Pr4Sm3
1.0
3.569 0.000 -0.657
-0.861 8.307 -4.676
0.389 1.353 12.128
Tb Pr Sm
4 4 3
direct
0.739 0.239 0.479
0.261 0.761 0.521
0.500 0.817 0.000
0.500 0.183 0.000
0.646 0.468 0.291
0.354 0.177 0.709
0.354 0.532 0.709
0.646 0.823 0.291
0.893 0.893 0.785
0.107 0.107 0.215
0.000 0.500 0.000
```

Excess energy over the best structure of this formula in the dataset   0.0 meV per atom
DFT formation energy   0.13 eV/atom

No. 5
A relaxed Tb12PrSm5 crystal, computed with PBE-GGA.

Geometry as POSCAR:
```
Tb12PrSm5
1.0
11.372 0.000 -0.001
5.686 8.707 -0.001
-0.001 0.000 5.994
Tb Pr Sm
12 1 5
direct
0.823 0.000 0.451
0.177 0.000 0.549
0.675 0.000 0.950
0.325 0.000 0.050
0.345 0.666 0.945
0.989 0.666 0.055
0.011 0.334 0.945
0.655 0.334 0.055
0.511 0.333 0.554
0.844 0.667 0.554
0.156 0.333 0.446
0.489 0.667 0.446
0.000 0.000 0.000
0.500 0.000 0.500
0.168 0.665 0.500
0.832 0.335 0.500
0.668 0.664 0.000
0.332 0.336 0.000
```

DFT formation energy   0.10 eV/atom

No. 6
A relaxed Tb12Pr2Sm crystal, computed with PBE-GGA.

Geometry as POSCAR:
```
Tb12Pr2Sm
1.0
6.459 0.000 0.000
0.000 6.459 0.000
0.000 0.000 25.144
Tb Pr Sm
24 4 2
direct
0.500 0.500 0.785
0.000 0.000 0.785
0.686 0.814 0.884
0.186 0.686 0.884
0.000 0.000 0.340
0.314 0.814 0.116
0.832 0.332 0.561
0.500 0.500 0.340
0.314 0.186 0.884
0.814 0.686 0.116
0.332 0.168 0.561
0.668 0.168 0.439
0.000 0.000 0.660
0.168 0.332 0.439
0.186 0.314 0.116
0.832 0.668 0.439
0.668 0.832 0.561
0.000 0.000 0.215
0.168 0.668 0.561
0.500 0.500 0.660
0.814 0.314 0.884
0.500 0.500 0.215
0.332 0.832 0.439
0.686 0.186 0.116
0.500 0.000 0.271
0.000 0.500 0.271
0.000 0.500 0.729
0.500 0.000 0.729
0.500 0.000 0.000
0.000 0.500 0.000
```

DFT formation energy   0.31 eV/atom

No. 7
A relaxed Tb2Pr3Sm crystal, computed with PBE-GGA.

Geometry as POSCAR:
```
Tb2Pr3Sm
1.0
-0.735 -3.538 6.341
-3.295 -1.211 -5.257
11.297 -4.225 -1.048
Tb Pr Sm
4 6 2
direct
0.209 0.667 0.417
0.458 0.667 0.917
0.542 0.333 0.083
0.791 0.333 0.583
0.374 0.000 0.750
0.626 0.000 0.250
0.958 0.666 0.916
0.292 0.334 0.584
0.708 0.666 0.416
0.042 0.334 0.084
0.126 0.000 0.250
0.874 0.000 0.750
```

Excess energy over the best structure of this formula in the dataset   0.0 meV per atom
DFT formation energy   0.02 eV/atom

No. 8
A relaxed Tb4PrSm2 crystal, computed with PBE-GGA.

Geometry as POSCAR:
```
Tb4PrSm2
1.0
6.137 0.000 -0.382
0.000 6.636 0.000
-2.545 0.000 11.522
Tb Pr Sm
8 2 4
direct
0.635 0.492 0.289
0.984 0.750 0.836
0.016 0.250 0.164
0.635 0.008 0.289
0.861 0.250 0.574
0.365 0.992 0.711
0.365 0.508 0.711
0.139 0.750 0.426
0.171 0.750 0.139
0.829 0.250 0.861
0.609 0.750 0.008
0.391 0.250 0.992
0.296 0.250 0.450
0.704 0.750 0.550
```

Excess energy over the best structure of this formula in the dataset   0.0 meV per atom
DFT formation energy   0.12 eV/atom

No. 9
A relaxed Tb4PrSm5 crystal, computed with PBE-GGA.

Geometry as POSCAR:
```
Tb4PrSm5
1.0
-3.359 5.215 -1.263
-6.199 -1.316 -4.813
-5.907 1.291 5.174
Tb Pr Sm
4 1 5
direct
0.406 0.395 0.699
0.801 0.699 0.605
0.105 0.301 0.395
0.500 0.605 0.301
0.220 0.000 0.000
0.800 0.382 0.919
0.182 0.919 0.618
0.718 0.081 0.382
0.100 0.618 0.081
0.679 0.000 0.000
```

Excess energy over the best structure of this formula in the dataset   265.8 meV per atom
DFT formation energy   0.28 eV/atom

No. 10
A relaxed Tb3Pr3Sm crystal, computed with PBE-GGA.

Geometry as POSCAR:
```
Tb3Pr3Sm
1.0
8.131 0.778 3.744
2.702 7.708 3.744
0.993 0.778 8.896
Tb Pr Sm
6 6 2
direct
0.714 0.175 0.937
0.175 0.937 0.714
0.937 0.714 0.175
0.063 0.286 0.825
0.825 0.063 0.286
0.286 0.825 0.063
0.718 0.565 0.071
0.071 0.718 0.565
0.565 0.071 0.718
0.435 0.929 0.282
0.929 0.282 0.435
0.282 0.435 0.929
0.344 0.344 0.344
0.656 0.656 0.656
```

Excess energy over the best structure of this formula in the dataset   0.0 meV per atom
DFT formation energy   0.20 eV/atom

No. 11
A relaxed Tb2PrSm3 crystal, computed with PBE-GGA.

Geometry as POSCAR:
```
Tb2PrSm3
1.0
7.237 0.001 -0.002
-3.617 4.474 -2.485
-0.003 0.804 11.973
Tb Pr Sm
4 2 6
direct
0.209 0.668 0.418
0.458 0.667 0.918
0.542 0.333 0.082
0.791 0.332 0.582
0.126 0.000 0.250
0.874 0.000 0.750
0.375 0.000 0.750
0.625 0.000 0.250
0.958 0.667 0.917
0.292 0.333 0.583
0.708 0.667 0.417
0.042 0.333 0.083
```

Excess energy over the best structure of this formula in the dataset   0.0 meV per atom
DFT formation energy   0.01 eV/atom

No. 12
A relaxed Tb2PrSm9 crystal, computed with PBE-GGA.

Geometry as POSCAR:
```
Tb2PrSm9
1.0
-2.884 2.072 -0.251
-3.285 -5.707 -9.378
-3.432 -3.526 10.349
Tb Pr Sm
2 1 9
direct
0.000 0.333 0.667
0.000 0.667 0.333
0.000 0.000 0.000
0.000 0.000 0.500
0.000 0.500 0.500
0.000 0.500 0.000
0.500 0.353 0.177
0.500 0.177 0.823
0.500 0.177 0.353
0.500 0.823 0.647
0.500 0.823 0.177
0.500 0.647 0.823
```

Excess energy over the best structure of this formula in the dataset   16.5 meV per atom
DFT formation energy   0.03 eV/atom